1.
## Tl2AgAu (GGA-PBEsol)

Data for an optimized crystal structure of Tl2AgAu.

```
Tl2AgAu
1.0
3.7158 0.0000 -0.0307
0.0000 4.3875 0.0000
-1.8830 0.0000 5.4342
Tl Au Ag
2 1 1
Direct
0.0289 0.0000 0.9296
0.7231 0.5000 0.3241
0.4530 0.5000 0.7825
0.2950 0.0000 0.4638
```

Summary:
**Calculated formation energy**: 39 meV per atom
**Space group**: No. 6
**D(E_F)**: 1.25 states/eV/f.u.
**Energy relative to the lowest polymorph listed for this composition**: 0.0 kJ per mole of atoms


2.
## Li4Mn2Co3Cu3O16 (GGA-PBEsol)

Data for an optimized crystal structure of Li4Mn2Co3Cu3O16.

```
Li4Mn2Co3Cu3O16
1.0
-3.5647 3.7152 -2.1170
3.1408 -3.2022 -3.5887
-6.6507 -6.1468 0.4116
Mn Co O Cu Li
2 3 16 3 4
Direct
0.3218 0.6436 0.4916
0.6734 0.3468 0.9904
0.1735 0.3471 0.2131
0.8306 0.1711 0.7135
0.3405 0.1711 0.7135
0.6641 0.8343 0.5939
0.4667 0.9333 0.3516
0.3245 0.6491 0.1160
0.0117 0.0234 0.2969
0.0112 0.0224 0.8048
0.1701 0.8343 0.5939
0.4536 0.4805 0.3566
0.0270 0.4805 0.3566
0.8416 0.6831 0.0868
0.1621 0.3241 0.6052
0.9597 0.4755 0.8410
0.5158 0.4755 0.8410
0.6547 0.3095 0.6107
0.8536 0.2125 0.0854
0.5253 0.0507 0.8379
0.3589 0.2125 0.0854
0.6617 0.8284 0.2133
0.1666 0.8284 0.2133
0.8314 0.6629 0.7119
0.3392 0.6784 0.8953
0.0050 0.0099 0.9974
0.9959 0.9918 0.4911
0.6523 0.3047 0.3997
```

Summary:
**Space group**: No. 8
**Energy relative to the elements, uncorrected**: -1249 meV/atom
**D(E_F)**: 13.18 states/eV/f.u.


3.
## TiHg3Bi (GGA-PBEsol)

Data for an optimized crystal structure of TiHg3Bi.

```
TiHg3Bi
1.0
-2.9689 -2.5801 -3.3512
-0.5035 -3.8497 3.4100
-4.1993 2.2857 1.9605
Ti Bi Hg
1 1 3
Direct
0.0000 0.0000 0.0000
0.5000 0.5000 0.5000
0.0000 0.5000 0.0000
0.0000 0.0000 0.5000
0.5000 0.0000 0.0000
```

Summary:
**Calculated formation energy**: 531 meV per atom
**Space group**: No. 221
**D(E_F)**: 4.06 states/eV/f.u.


4.
## Ag5Pb (GGA-PBEsol)

Data for an optimized crystal structure of Ag5Pb.

```
Ag5Pb
1.0
-3.9998 0.6719 1.3007
-1.4493 -1.7659 -3.5446
-0.7532 -6.3190 0.9477
Pb Ag
1 5
Direct
0.0000 0.5000 0.0000
0.5000 0.3266 0.3467
0.0000 0.1714 0.6572
0.5000 0.0000 0.0000
0.0000 0.8286 0.3428
0.5000 0.6734 0.6533
```

Summary:
**Calculated formation energy**: 64 meV per atom
**Space group**: No. 65
**D(E_F)**: 1.49 states/eV/f.u.
**Energy relative to the lowest polymorph listed for this composition**: 0.8 kJ per mole of atoms


5.
## ZrCo2 (GGA-PBEsol)

Data for an optimized crystal structure of ZrCo2.

```
ZrCo2
1.0
-4.0323 -1.2040 -2.3133
-0.7222 -4.5492 -1.3577
-3.3300 -2.6646 2.2071
Co Zr
4 2
Direct
0.1250 0.1250 0.6250
0.1250 0.6250 0.1250
0.1250 0.1250 0.1250
0.6250 0.1250 0.1250
0.7500 0.7500 0.7500
0.5000 0.5000 0.5000
```

Summary:
**Calculated formation energy**: -361 meV per atom
**Space group**: No. 227
**D(E_F)**: 3.37 states/eV/f.u.


6.
## TiCuNi2 (GGA-PBEsol)

Data for an optimized crystal structure of TiCuNi2.

```
TiCuNi2
1.0
3.6347 0.0000 0.0000
0.0000 3.6347 0.0000
-1.8174 -1.8174 3.5118
Ni Cu Ti
2 1 1
Direct
0.2500 0.7500 0.5000
0.7500 0.2500 0.5000
0.0000 0.0000 0.0000
0.5000 0.5000 0.0000
```

Summary:
**Calculated formation energy**: -366 meV per atom
**Space group**: No. 139
**D(E_F)**: 1.87 states/eV/f.u.


7.
## TaTe2 (GGA-PBEsol)

Data for an optimized crystal structure of TaTe2.

```
TaTe2
1.0
3.3722 0.0000 0.0000
0.0000 4.7484 0.0000
0.0000 0.0000 4.7484
Te Ta
2 1
Direct
0.5000 0.0000 0.5000
0.5000 0.5000 0.0000
0.0000 0.0000 0.0000
```

Summary:
**Space group**: No. 123
**Energy relative to the elements, uncorrected**: 360 meV/atom
**D(E_F)**: 3.30 states/eV/f.u.


8.
## CdOs (GGA-PBEsol)

Data for an optimized crystal structure of CdOs.

```
CdOs
1.0
2.8386 0.0000 0.0000
0.0000 2.8386 0.0000
0.0000 0.0000 8.2602
Cd Os
2 2
Direct
0.5000 0.0000 0.8535
0.0000 0.5000 0.1465
0.0000 0.5000 0.5970
0.5000 0.0000 0.4030
```

Summary:
**Calculated formation energy**: 222 meV per atom
**Space group**: No. 129
**D(E_F)**: 1.02 states/eV/f.u.


9.
## ZrBrCl2 (GGA-PBEsol)

Data for an optimized crystal structure of ZrBrCl2.

```
ZrBrCl2
1.0
3.4029 -0.0110 0.0000
-0.4969 5.1182 0.0000
-1.4530 -2.5536 4.6499
Br Zr Cl
1 1 2
Direct
0.0000 0.5000 0.0000
0.5000 0.0000 0.0000
0.0000 0.0000 0.5000
0.5000 0.5000 0.5000
```

Summary:
**Space group**: No. 12
**Energy relative to the elements, uncorrected**: -530 meV/atom
**D(E_F)**: 2.31 states/eV/f.u.
**Energy relative to the lowest polymorph listed for this composition**: 100.5 kJ per mole of atoms


10.
## I2O3F6 (GGA-PBEsol)

Data for an optimized crystal structure of I2O3F6.

```
I2O3F6
1.0
-2.5780 -8.4623 0.7130
9.0172 -2.4795 3.1755
-6.0295 2.3699 6.3266
I O F
8 12 24
Direct
0.2662 0.9381 0.5776
0.7662 0.0619 0.9224
0.7338 0.0619 0.4224
0.2338 0.9381 0.0776
0.4201 0.3179 0.6643
0.9201 0.6821 0.8357
0.5799 0.6821 0.3357
0.0799 0.3179 0.1643
0.4596 0.7717 0.5159
0.9596 0.2283 0.9841
0.5404 0.2283 0.4841
0.0404 0.7717 0.0159
0.3932 0.1566 0.7078
0.8932 0.8434 0.7922
0.6068 0.8434 0.2922
0.1068 0.1566 0.2078
0.7217 0.0551 0.6124
0.2217 0.9449 0.8876
0.2783 0.9449 0.3876
0.7783 0.0551 0.1124
0.5795 0.3928 0.8123
0.5679 0.5023 0.3541
0.9321 0.5023 0.8541
0.4321 0.4977 0.6459
0.2026 0.4344 0.3432
0.0679 0.4977 0.1459
0.7974 0.5656 0.6568
0.2974 0.4344 0.8432
0.2545 0.2802 0.0385
0.7545 0.7198 0.4615
0.7455 0.7198 0.9615
0.2455 0.2802 0.5385
0.3616 0.7668 0.9983
0.8616 0.2332 0.5017
0.6384 0.2332 0.0017
0.1384 0.7668 0.4983
0.4109 0.0572 0.1517
0.9109 0.9428 0.3483
0.5891 0.9428 0.8483
0.0891 0.0572 0.6517
0.4205 0.6072 0.1877
0.9205 0.3928 0.3123
0.7026 0.5656 0.1568
0.0795 0.6072 0.6877
```

Summary:
**Space group**: No. 14
**Energy relative to the elements, uncorrected**: -1078 meV/atom
**D(E_F)**: 0.00 states/eV/f.u.


11.
## ZrGaRh (GGA-PBEsol)

Data for an optimized crystal structure of ZrGaRh.

```
ZrGaRh
1.0
3.2848 0.0000 0.0000
0.0000 7.2092 0.0000
0.0000 -3.6046 6.2433
Zr Ga Rh
3 3 3
Direct
0.5000 0.0000 0.3930
0.5000 0.3930 0.0000
0.5000 0.6070 0.6070
0.0000 0.0000 0.7269
0.0000 0.7269 0.0000
0.0000 0.2731 0.2731
0.0000 0.6667 0.3333
0.0000 0.3333 0.6667
0.5000 0.0000 0.0000
```

Summary:
**Calculated formation energy**: -853 meV per atom
**Space group**: No. 189
**D(E_F)**: 1.91 states/eV/f.u.


12.
## KNaICl (GGA-PBEsol)

Data for an optimized crystal structure of KNaICl.

```
KNaICl
1.0
4.4225 0.0000 0.0000
0.0000 4.4225 0.0000
0.0000 0.0000 6.6782
I Na K Cl
1 1 1 1
Direct
0.5000 0.5000 0.0000
0.0000 0.0000 0.0000
0.5000 0.5000 0.5000
0.0000 0.0000 0.5000
```

Summary:
**Space group**: No. 123
**Energy relative to the elements, uncorrected**: -1553 meV/atom
**D(E_F)**: 0.00 states/eV/f.u.


13.
## SrCoP2 (GGA-PBEsol)

Data for an optimized crystal structure of SrCoP2.

```
SrCoP2
1.0
3.9465 0.0000 0.0000
0.0000 4.2047 0.0000
0.0000 0.0000 4.2047
Co P Sr
1 2 1
Direct
0.5000 0.0000 0.0000
0.0000 0.0000 0.5000
0.0000 0.5000 0.0000
0.5000 0.5000 0.5000
```

Summary:
**Calculated formation energy**: 211 meV per atom
**Space group**: No. 123
**D(E_F)**: 5.20 states/eV/f.u.
**Energy relative to the lowest polymorph listed for this composition**: 44.2 kJ per mole of atoms